(A)
A relaxed structure of BeInSb2, computed with GGA-PBE.

abc: 6.053 8.106 4.475
angles: 90.00 115.43 90.00
Space group C2/m (No. 12)
Unique sites:
Be: 0.000 0.000 0.000 [2 per cell]
In: 0.000 0.500 0.000 [2 per cell]
Sb: 0.250 0.250 0.500 [4 per cell]

Properties
Magnetization, μB/f.u.: 0.00
Density, g/cm3: 6.2

=====

(B)
A relaxed structure of BeInSb2, computed with GGA-PBE.

abc: 7.267 7.267 7.267
angles: 90.00 90.00 90.00
Space group F-43m (No. 216)
Unique sites:
Be: 0.000 0.000 0.000 [4 per cell]
In: 0.250 0.250 0.250 [4 per cell]
Sb: 0.000 0.000 0.500 [4 per cell]
Sb: 0.250 0.250 0.750 [4 per cell]

Properties
Magnetization, μB/f.u.: 0.00
Density, g/cm3: 6.4

=====

Which one is most stable, and which one is least stable? (A) is the most stable of them, while (B) is the least stable.

=====

(A)
A relaxed structure of FeRe2Hg, computed with GGA-PBE.

abc: 2.7735 2.7735 27.8584
angles: 90.00 90.00 120.00
Space group R-3m (No. 166, hexagonal axes)
Unique sites:
Fe: 0.0000 0.0000 0.0000 [3 per cell]
Re: 0.0000 0.0000 0.2605 [6 per cell]
Hg: 0.0000 0.0000 0.5000 [3 per cell]

Properties
Magnetization, μB/f.u.: 1.17
Density, g/cm3: 16.9

=====

(B)
A relaxed structure of FeRe2Hg, computed with GGA-PBE.

abc: 9.649 2.800 4.709
angles: 90.00 103.91 90.00
Space group C2/m (No. 12)
Unique sites:
Fe: 0.000 0.000 0.000 [2 per cell]
Re: 0.230 0.500 0.228 [4 per cell]
Hg: 0.000 0.500 0.500 [2 per cell]

Properties
Magnetization, μB/f.u.: 1.89
Density, g/cm3: 16.9

=====

Which one is most stable, and which one is least stable? (A) is the most stable of them, while (B) is the least stable.

=====

(A)
A relaxed structure of MgTa2Cl, computed with GGA-PBE.

abc: 6.713 6.713 6.713
angles: 90.00 90.00 90.00
Space group F-43m (No. 216)
Unique sites:
Mg: 0.000 0.000 0.000 [4 per cell]
Ta: 0.000 0.000 0.500 [4 per cell]
Ta: 0.250 0.250 0.750 [4 per cell]
Cl: 0.250 0.250 0.250 [4 per cell]

Properties
Magnetization, μB/f.u.: 0.82
Density, g/cm3: 9.3

=====

(B)
A relaxed structure of MgTa2Cl, computed with GGA-PBE.

abc: 5.505 11.037 3.106
angles: 90.00 123.50 90.00
Space group C2/m (No. 12)
Unique sites:
Mg: 0.000 0.000 0.000 [2 per cell]
Ta: 0.250 0.250 0.000 [4 per cell]
Cl: 0.000 0.500 0.000 [2 per cell]

Properties
Magnetization, μB/f.u.: 0.00
Density, g/cm3: 8.9

=====

Which one is most stable, and which one is least stable? (B) is the most stable of them, while (A) is the least stable.